Entry 1:
DFT (GGA-PBEsol) results for an optimized crystal structure of SrFe2Ir.

Geometry as POSCAR:
```
SrFe2Ir
1.0
3.0373 0.0000 0.0000
0.0000 3.0373 0.0000
0.0000 0.0000 7.2392
Sr Fe Ir
1 2 1
Cartesian
0.0000 0.0000 0.0000
0.0000 0.0000 3.5622
1.5186 1.5186 2.4253
1.5186 1.5186 4.9467
```

SG: P4mm (99)


Entry 2:
DFT (GGA-PBEsol) results for an optimized crystal structure of SrFeIr2.

Geometry as POSCAR:
```
SrFeIr2
1.0
4.1314 0.0000 0.0000
0.0000 4.1314 0.0000
0.0000 0.0000 3.9765
Sr Fe Ir
1 1 2
Cartesian
0.0000 0.0000 0.0000
2.0657 2.0657 0.0000
0.0000 2.0657 1.9883
2.0657 0.0000 1.9883
```

SG: P4/mmm (123)


Number 1: VASP energy -6.9863 eV/atom. Number 2: VASP energy -6.9516 eV/atom.